# 1
Density functional theory data (PBE) for crystalline Th2Mn2BeN6 at its relaxed geometry.

Total DFT energy (no corrections)   -8.44 eV/atom
Formation energy from raw total energies   -0.545 eV/atom
Total moment   0.00 μB per cell
Calculated density   8441 kg/m³

Lattice parameters (Å, degrees): 5.5049 5.5049 5.9243 62.32 62.32 60.00
Closest atoms and distances in Å follow each position.
Positions (direct):
Th1 0.7726 0.7726 0.6823  9 N 2.63-2.78
Th2 0.2274 0.2274 0.3177  9 N 2.63-2.78
Mn1 0.4355 0.4355 0.6936  3 N 1.73, 1 Mn 1.94
Mn2 0.5645 0.5645 0.3064  3 N 1.73, 1 Mn 1.94
Be1 0.0000 0.0000 0.0000  6 N 1.92
N1 0.7633 0.7633 0.2458  1 Mn 1.73, 1 Be 1.92
N2 0.2275 0.7633 0.2458  1 Mn 1.73, 1 Be 1.92
N3 0.7633 0.2275 0.2458  1 Mn 1.73, 1 Be 1.92
N4 0.2367 0.7725 0.7542  1 Mn 1.73, 1 Be 1.92
N5 0.7725 0.2367 0.7542  1 Mn 1.73, 1 Be 1.92
N6 0.2367 0.2367 0.7542  1 Mn 1.73, 1 Be 1.92


# 2
Density functional theory data (PBE) for crystalline CsNaHoBr5 at its relaxed geometry.

Total DFT energy (no corrections)   -3.67 eV/atom
Formation energy from raw total energies   -1.782 eV/atom
Total moment   0.00 μB per cell
Calculated density   3614 kg/m³

Lattice parameters (Å, degrees): 8.3232 8.3232 10.8631 101.66 101.66 109.98
Closest atoms and distances in Å follow each position.
Positions (direct):
Cs1 0.3357 0.6643 0.2500  7 Br 3.70-3.91
Cs2 0.6643 0.3357 0.7500  7 Br 3.70-3.91
Na1 0.6869 0.3131 0.2500  4 Br 2.84-2.87
Na2 0.3131 0.6869 0.7500  4 Br 2.84-2.87
Ho1 0.0000 0.0000 0.5000  6 Br 2.78-2.83
Ho2 0.0000 0.0000 0.0000  6 Br 2.78-2.83
Br1 0.0593 0.9407 0.2500  2 Ho 2.83
Br2 0.9407 0.0593 0.7500  2 Ho 2.83
Br3 0.9006 0.2832 0.0800  1 Ho 2.79, 1 Na 2.84
Br4 0.0994 0.7168 0.9200  1 Ho 2.79, 1 Na 2.84
Br5 0.7168 0.0994 0.4200  1 Ho 2.79, 1 Na 2.84
Br6 0.2832 0.9006 0.5800  1 Ho 2.79, 1 Na 2.84
Br7 0.7563 0.6470 0.4348  1 Ho 2.78, 1 Na 2.87
Br8 0.2437 0.3530 0.5652  1 Ho 2.78, 1 Na 2.87
Br9 0.3530 0.2437 0.0652  1 Ho 2.78, 1 Na 2.87
Br10 0.6470 0.7563 0.9348  1 Ho 2.78, 1 Na 2.87


# 3
Density functional theory data (PBE) for crystalline Pm4C2NO at its relaxed geometry.

Total DFT energy (no corrections)   -7.42 eV/atom
Formation energy from raw total energies   -1.078 eV/atom
Total moment   0.00 μB per cell
Calculated density   7636 kg/m³

Lattice parameters (Å, degrees): 5.1444 5.1444 6.3543 113.88 113.88 90.00
Closest atoms and distances in Å follow each position.
Positions (direct):
Pm1 0.9937 0.4937 0.9874  1 N 2.54, 3 C 2.57-2.67, 2 O 2.57
Pm2 0.5063 0.0063 0.0126  1 N 2.54, 2 O 2.57, 3 C 2.57-2.67
Pm3 0.7472 0.7472 0.4945  2 N 2.57, 3 C 2.57-2.63, 1 O 2.58
Pm4 0.2528 0.2528 0.5055  2 N 2.57, 3 C 2.57-2.63, 1 O 2.58
C1 0.2500 0.7500 0.5000  6 Pm 2.57-2.67
C2 0.0000 0.0000 0.0000  6 Pm 2.57-2.63
N1 0.7500 0.2500 0.5000  6 Pm 2.54-2.57
O1 0.5000 0.5000 0.0000  6 Pm 2.57-2.58


# 4
Density functional theory data (PBE) for crystalline FeSe2N2 at its relaxed geometry.

Total DFT energy (no corrections)   -5.28 eV/atom
Polymorph energy (0 for the lowest one)   122.1 kJ per mole of atoms
Formation energy from raw total energies   1.132 eV/atom
Total moment   2.78 μB per cell
Calculated density   5224 kg/m³

Lattice parameters (Å, degrees): 4.5061 4.5061 4.9474 62.91 62.91 90.00
Closest atoms and distances in Å follow each position.
Positions (direct):
Fe1 0.0000 0.0000 0.0000  2 N 1.89
Se1 0.7500 0.2500 0.5000  4 N 2.25
Se2 0.2500 0.7500 0.5000  4 N 2.25
N1 0.2498 0.2498 0.5004  1 Fe 1.89
N2 0.7502 0.7502 0.4996  1 Fe 1.89


# 5
Density functional theory data (PBE) for crystalline MnGaIN2 at its relaxed geometry.

Total DFT energy (no corrections)   -5.21 eV/atom
Polymorph energy (0 for the lowest one)   0.0 kJ per mole of atoms
Formation energy from raw total energies   0.874 eV/atom
Total moment   0.12 μB per cell
Calculated density   5618 kg/m³

Lattice parameters (Å, degrees): 3.7937 3.7937 5.7423 90.00 90.00 90.00
Closest atoms and distances in Å follow each position.
Positions (direct):
I1 0.0000 0.0000 0.5000  4 Ga 2.68, 2 Mn 2.87
Mn1 0.0000 0.0000 0.0000  4 N 1.90
Ga1 0.5000 0.5000 0.5000  4 I 2.68
N1 0.0000 0.5000 0.0000  2 Mn 1.90
N2 0.5000 0.0000 0.0000  2 Mn 1.90


# 6
Density functional theory data (PBE) for crystalline Sm2Cd3Si2 at its relaxed geometry.

Total DFT energy (no corrections)   -3.73 eV/atom
Formation energy from raw total energies   -0.443 eV/atom
Total moment   0.00 μB per cell
Calculated density   7048 kg/m³

Lattice parameters (Å, degrees): 4.1649 3.8340 10.4199 100.60 90.00 90.00
Closest atoms and distances in Å follow each position.
Positions (direct):
Sm1 0.0000 0.8296 0.6592  6 Si 2.98-3.13
Sm2 0.0000 0.1704 0.3408  6 Si 2.98-3.13
Cd1 0.5000 0.5730 0.1461  1 Si 2.92, 5 Cd 2.99-3.20
Cd2 0.5000 0.4270 0.8539  1 Si 2.92, 5 Cd 2.99-3.20
Cd3 0.0000 0.0000 0.0000  8 Cd 3.20, 2 Sm 3.49
Si1 0.5000 0.7154 0.4308  2 Si 2.38
Si2 0.5000 0.2846 0.5692  2 Si 2.38